# Ga2MoF, relaxed, DFT PBE with a Hubbard U
data_Ga2MoF
_chemical_formula_sum 'Ga8 Mo4 F4'
_cell_length_a 6.818
_cell_length_b 6.818
_cell_length_c 5.285
_cell_angle_alpha 90.00
_cell_angle_beta 90.00
_cell_angle_gamma 90.00
_space_group_name_H-M_alt 'I -4 2 d'
_space_group_IT_number 122
_space_group_name_Hall 'I -4 2bw'
loop_
_atom_site_label
_atom_site_fract_x
_atom_site_fract_y
_atom_site_fract_z
Ga1 0.211 0.250 0.125
Mo1 0.000 0.000 0.500
F1 0.000 0.000 0.000
# Energy above the most stable polymorph in this dataset = 38 meV per atom
# Magnetic moment = 3.59 Bohr magnetons per cell
# Crystal system = tetragonal